A | First-principles (PBE-GGA) data for a relaxed Li2MnFe crystal, as listed in the Alexandria database.

Cell: 5.049 5.049 5.049 Å, 139.54 139.54 58.55°
Element x y z (fractional)
Fe  0.750  0.250  0.500
Li  0.000  0.000  0.000
Li  0.500  0.500  0.000
Mn  0.250  0.750  0.500

- DOS at the Fermi energy (states/eV per cell) = 5.272
- symmetry = I4/mmm (139)
- spin magnetization (Bohr magnetons per cell) = 5.3



B | First-principles (PBE-GGA) data for a relaxed Li2MnFe crystal, as listed in the Alexandria database.

Cell: 4.133 4.133 5.141 Å, 88.03 88.03 33.64°
Element x y z (fractional)
Fe  0.748  0.748  0.707
Li  0.002  0.002  0.007
Li  0.249  0.249  0.242
Mn  0.501  0.501  0.544

- DOS at the Fermi energy (states/eV per cell) = 3.873
- symmetry = Cm (8)
- spin magnetization (Bohr magnetons per cell) = 0.4



C | First-principles (PBE-GGA) data for a relaxed Li2MnFe crystal, as listed in the Alexandria database.

Cell: 4.862 4.862 4.277 Å, 78.06 78.06 30.46°
Element x y z (fractional)
Fe  0.750  0.750  0.750
Li  0.004  0.004  0.993
Li  0.496  0.496  0.507
Mn  0.250  0.250  0.250

- DOS at the Fermi energy (states/eV per cell) = 3.172
- symmetry = C2/m (12)
- spin magnetization (Bohr magnetons per cell) = 4.3



The relative energies come out as A 0.123; B 0.029; C 0.000, with values in eV/atom.



A | First-principles (PBE-GGA) data for a relaxed Li2MnFe crystal, as listed in the Alexandria database.

Cell: 9.308 9.308 9.308 Å, 15.56 15.56 15.56°
Element x y z (fractional)
Fe  0.750  0.750  0.750
Li  0.000  0.000  0.000
Li  0.500  0.500  0.500
Mn  0.250  0.250  0.250

- DOS at the Fermi energy (states/eV per cell) = 3.555
- symmetry = R-3m (166)
- spin magnetization (Bohr magnetons per cell) = 4.4



B | First-principles (PBE-GGA) data for a relaxed Li2MnFe crystal, as listed in the Alexandria database.

Cell: 2.449 2.449 8.943 Å, 90.00 90.00 108.68°
Element x y z (fractional)
Fe  0.500  0.500  0.735
Li  0.000  0.000  0.980
Li  0.500  0.500  0.269
Mn  0.000  0.000  0.515

- DOS at the Fermi energy (states/eV per cell) = 3.625
- symmetry = Cmm2 (35)
- spin magnetization (Bohr magnetons per cell) = 3.1



C | First-principles (PBE-GGA) data for a relaxed Li2MnFe crystal, as listed in the Alexandria database.

Cell: 2.322 2.322 8.790 Å, 90.00 90.00 90.00°
Element x y z (fractional)
Fe  0.500  0.500  0.750
Li  0.000  0.000  0.000
Li  0.000  0.000  0.500
Mn  0.500  0.500  0.250

- DOS at the Fermi energy (states/eV per cell) = 2.492
- symmetry = P4/mmm (123)
- spin magnetization (Bohr magnetons per cell) = 2.3



D | First-principles (PBE-GGA) data for a relaxed Li2MnFe crystal, as listed in the Alexandria database.

Cell: 6.631 6.631 5.208 Å, 50.45 50.45 90.00°
Element x y z (fractional)
Mn  0.500  0.500  0.000
Mn  0.250  0.750  0.500
Fe  0.000  0.000  0.000
Fe  0.750  0.250  0.500
Li  0.626  0.125  0.250
Li  0.124  0.625  0.250
Li  0.375  0.374  0.750
Li  0.875  0.876  0.750

- DOS at the Fermi energy (states/eV per cell) = 11.613
- symmetry = I-42d (122)
- spin magnetization (Bohr magnetons per cell) = 3.5



The relative energies come out as A 0.049; B 0.000; C 0.126; D 0.628, with values in eV/atom.



A | First-principles (PBE-GGA) data for a relaxed LiMn3Fe crystal, as listed in the Alexandria database.

Cell: 3.781 3.781 3.781 Å, 90.00 90.00 90.00°
Element x y z (fractional)
Mn  0.000  0.500  0.000
Mn  0.000  0.000  0.500
Mn  0.500  0.000  0.000
Fe  0.500  0.500  0.500
Li  0.000  0.000  0.000

- DOS at the Fermi energy (states/eV per cell) = 6.697
- symmetry = Pm-3m (221)
- spin magnetization (Bohr magnetons per cell) = 0.0



B | First-principles (PBE-GGA) data for a relaxed LiMn3Fe crystal, as listed in the Alexandria database.

Cell: 4.452 4.452 4.452 Å, 90.00 90.00 90.00°
Element x y z (fractional)
Mn  0.000  0.500  0.000
Mn  0.000  0.000  0.500
Mn  0.500  0.000  0.000
Fe  0.000  0.000  0.000
Li  0.500  0.500  0.500

- DOS at the Fermi energy (states/eV per cell) = 7.828
- symmetry = Pm-3m (221)
- spin magnetization (Bohr magnetons per cell) = 10.4



The relative energies come out as A 0.483; B 0.000, with values in eV/atom.